PBE-GGA TaBiF3, relaxed; electronic total energy = -4.662 eV per atom; E above lowest polymorph = 4.55 eV per formula unit
1.0
4.6806 0.0000 0.0000
0.0000 4.6806 0.0000
0.0000 0.0000 4.6806
Ta Bi F
1 1 3
direct
0.0000 0.0000 0.0000
0.5000 0.5000 0.5000
0.0000 0.5000 0.5000
0.5000 0.0000 0.5000
0.5000 0.5000 0.0000

=====

PBE-GGA TaBiF2, relaxed; electronic total energy = -5.308 eV per atom; E above lowest polymorph = 3.95 eV per formula unit
1.0
0.0000 3.1706 3.1706
3.1706 0.0000 3.1706
3.1706 3.1706 0.0000
Ta Bi F
1 1 2
direct
0.0000 0.0000 0.0000
0.5000 0.5000 0.5000
0.2500 0.2500 0.2500
0.7500 0.7500 0.7500

=====

PBE-GGA Ta2Bi2F, relaxed; electronic total energy = -6.657 eV per atom; E above lowest polymorph = 0.00 eV per formula unit
1.0
-1.8564 1.8564 8.5095
1.8564 -1.8564 8.5095
1.8564 1.8564 -8.5095
Ta Bi F
2 2 1
direct
0.2500 0.7500 0.5000
0.7500 0.2500 0.5000
0.1013 0.1013 0.0000
0.8987 0.8987 0.0000
0.5000 0.5000 0.0000

=====

PBE-GGA Ta2TlBiF, relaxed; electronic total energy = -5.205 eV per atom
1.0
5.3343 0.0000 0.0000
0.0000 5.3343 0.0000
0.0000 0.0000 4.4570
Ta Tl Bi F
2 1 1 1
direct
0.0000 0.5000 0.0000
0.5000 0.0000 0.0000
0.0000 0.0000 0.0000
0.5000 0.5000 0.5000
0.0000 0.0000 0.5000

=====

Which value of electronic total energy does entry 2 give? -5.308 eV per atom

=====

Among the records above, which one has the lowest electronic total energy? Ta2Bi2F

=====

Please write out number 4 again, unchanged.
PBE-GGA Ta2TlBiF, relaxed; electronic total energy = -5.205 eV per atom
1.0
5.3343 0.0000 0.0000
0.0000 5.3343 0.0000
0.0000 0.0000 4.4570
Ta Tl Bi F
2 1 1 1
direct
0.0000 0.5000 0.0000
0.5000 0.0000 0.0000
0.0000 0.0000 0.0000
0.5000 0.5000 0.5000
0.0000 0.0000 0.5000

=====

What did the second record say?
PBE-GGA TaBiF2, relaxed; electronic total energy = -5.308 eV per atom; E above lowest polymorph = 3.95 eV per formula unit
1.0
0.0000 3.1706 3.1706
3.1706 0.0000 3.1706
3.1706 3.1706 0.0000
Ta Bi F
1 1 2
direct
0.0000 0.0000 0.0000
0.5000 0.5000 0.5000
0.2500 0.2500 0.2500
0.7500 0.7500 0.7500